Entry from Alexandria via LeMat-Bulk: crystalline Pm2DyPd at its relaxed geometry (PBE-GGA). Values from VASP.

Symmetry: P-1
Crystal system: triclinic
Energy above the lowest structure with this stoichiometry, meV per atom: 79
E_form, kJ/mol of atoms: -34
Fermi-level density of states, states/eV per cell: 20.92

The structure in Quantum ESPRESSO input format:
```
&SYSTEM
  ibrav = 0, nat = 16, ntyp = 3
/
ATOMIC_SPECIES
Pm 145.00 Pm.upf
Dy 162.50 Dy.upf
Pd 106.42 Pd.upf
ATOMIC_POSITIONS crystal
Pm 0.828 0.979 0.890
Pm 0.172 0.021 0.110
Pm 0.248 0.590 0.566
Pm 0.752 0.410 0.434
Pm 0.828 0.478 0.110
Pm 0.172 0.522 0.890
Pm 0.248 0.090 0.434
Pm 0.752 0.910 0.566
Dy 0.336 0.524 0.225
Dy 0.664 0.476 0.775
Dy 0.664 0.976 0.225
Dy 0.336 0.024 0.775
Pd 0.000 0.250 0.659
Pd 0.000 0.750 0.341
Pd 0.499 0.250 0.998
Pd 0.501 0.750 0.002
CELL_PARAMETERS angstrom
-5.244 2.988 -3.197
1.391 -2.827 -5.529
-6.289 -8.209 2.632
```